# AlHg2HPt GGA-PBE relaxed
# DOS(E_F), states/eV per atom: 0.355
# Electronic total energy, eV per formula unit: -12.5
data_AlHg2HPt
_cell_length_a 5.0508
_cell_length_b 5.0508
_cell_length_c 3.3842
_cell_angle_alpha 90.00
_cell_angle_beta 90.00
_cell_angle_gamma 90.00
_symmetry_space_group_name_H-M 'P 4/m m m'
_symmetry_Int_Tables_number 123
_symmetry_space_group_name_Hall '-P 4 2'
loop_
_atom_site_label
_atom_site_type_symbol
_atom_site_fract_x
_atom_site_fract_y
_atom_site_fract_z
Al1 Al 0.0000 0.0000 0.0000
Hg1 Hg 0.0000 0.5000 0.5000
H1 H 0.5000 0.5000 0.5000
Pt1 Pt 0.5000 0.5000 0.0000